Record 1
This record from the Alexandria database describes In2ReHg at its PBEsol-relaxed geometry. The functional is SCAN.

a b c (Å): 4.151 4.151 8.697
angles (deg): 90.00 90.00 90.00
Space group I4/mmm (No. 139)
Asymmetric unit:
In 0.000 0.500 0.250 (multiplicity 4)
Re 0.000 0.000 0.000 (multiplicity 2)
Hg 0.000 0.000 0.500 (multiplicity 2)

Output
- ΔH_f (0 K): 0.56 eV per atom

=====

Record 2
This record from the Alexandria database describes ScMnCr at its PBEsol-relaxed geometry. The functional is SCAN.

a b c (Å): 7.925 4.913 8.498
angles (deg): 90.00 90.00 90.00
Space group Amm2 (No. 38)
Asymmetric unit:
Sc 0.184 0.000 0.000 (multiplicity 4)
Sc 0.309 0.000 0.666 (multiplicity 4)
Mn 0.000 0.000 0.505 (multiplicity 2)
Mn 0.000 0.244 0.748 (multiplicity 4)
Mn 0.500 0.000 0.163 (multiplicity 2)
Cr 0.243 0.000 0.332 (multiplicity 4)
Cr 0.500 0.247 0.918 (multiplicity 4)

Output
- ΔH_f (0 K): 0.05 eV per atom
- Energy relative to the lowest polymorph listed for this composition: 0.000 eV/atom

=====

Record 3
This record from the Alexandria database describes LiP2ClO at its PBEsol-relaxed geometry. The functional is SCAN.

a b c (Å): 3.757 3.757 6.583
angles (deg): 90.00 90.00 90.00
Space group P4/mmm (No. 123)
Asymmetric unit:
Li 0.000 0.000 0.000 (multiplicity 1)
P 0.000 0.500 0.500 (multiplicity 2)
Cl 0.500 0.500 0.000 (multiplicity 1)
O 0.500 0.500 0.500 (multiplicity 1)

Output
- Energy relative to the lowest polymorph listed for this composition: 0.000 eV/atom
- Formation energy without anion corrections: -0.21 eV/atom

=====

Record 4
This record from the Alexandria database describes Be4Te3 at its PBEsol-relaxed geometry. The functional is SCAN.

a b c (Å): 5.316 5.316 5.316
angles (deg): 90.00 90.00 90.00
Space group P-43m (No. 215)
Asymmetric unit:
Be 0.225 0.225 0.775 (multiplicity 4)
Te 0.000 0.500 0.500 (multiplicity 3)

Output
- Formation energy without anion corrections: 0.13 eV/atom

=====

Record 5
This record from the Alexandria database describes YZnOs2 at its PBEsol-relaxed geometry. The functional is SCAN.

a b c (Å): 2.871 3.947 5.951
angles (deg): 90.00 90.00 90.00
Space group Pmmm (No. 47)
Asymmetric unit:
Y 0.000 0.000 0.000 (multiplicity 1)
Zn 0.000 0.000 0.500 (multiplicity 1)
Os 0.500 0.500 0.298 (multiplicity 2)

Output
- ΔH_f (0 K): 0.21 eV per atom

=====

Record 6
This record from the Alexandria database describes BeCo2Se at its PBEsol-relaxed geometry. The functional is SCAN.

a b c (Å): 2.846 2.846 5.348
angles (deg): 90.00 90.00 90.00
Space group P4/mmm (No. 123)
Asymmetric unit:
Be 0.000 0.000 0.000 (multiplicity 1)
Co 0.500 0.500 0.232 (multiplicity 2)
Se 0.000 0.000 0.500 (multiplicity 1)

Output
- Energy relative to the lowest polymorph listed for this composition: 0.036 eV/atom
- Formation energy without anion corrections: 0.17 eV/atom

=====

Record 7
This record from the Alexandria database describes Na2GaPt2 at its PBEsol-relaxed geometry. The functional is SCAN.

a b c (Å): 6.264 6.264 4.891
angles (deg): 90.00 90.00 90.00
Space group P4/mbm (No. 127)
Asymmetric unit:
Na 0.168 0.332 0.000 (multiplicity 4)
Ga 0.000 0.000 0.500 (multiplicity 2)
Pt 0.143 0.643 0.500 (multiplicity 4)

Output
- ΔH_f (0 K): -0.53 eV per atom

=====

Record 8
This record from the Alexandria database describes Mn2FeOs at its PBEsol-relaxed geometry. The functional is SCAN.

a b c (Å): 3.581 3.581 7.151
angles (deg): 90.00 90.00 90.00
Space group I-4m2 (No. 119)
Asymmetric unit:
Mn 0.000 0.000 0.000 (multiplicity 2)
Mn 0.000 0.500 0.250 (multiplicity 2)
Fe 0.000 0.500 0.750 (multiplicity 2)
Os 0.000 0.000 0.500 (multiplicity 2)

Output
- ΔH_f (0 K): -0.09 eV per atom